#P
Entry from Alexandria: an optimized crystal structure of HfMg14Cr (PBE-GGA).

**Total magnetization**: 3.9 μB/cell
**Symmetry**: Amm2 (38)

Cell: 10.206 6.356 6.356 Å, 58.98 90.00 90.00°
Atoms (fractional coordinates):
Hf 0.000 0.000 0.000
Mg 0.000 0.006 0.494
Mg 0.000 0.494 0.006
Mg 0.237 0.657 0.657
Mg 0.243 0.163 0.664
Mg 0.243 0.664 0.163
Mg 0.249 0.159 0.159
Mg 0.500 0.496 0.496
Mg 0.500 0.498 0.994
Mg 0.500 0.994 0.498
Mg 0.500 0.995 0.995
Mg 0.751 0.159 0.159
Mg 0.757 0.163 0.664
Mg 0.757 0.664 0.163
Mg 0.763 0.657 0.657
Cr 0.000 0.494 0.494

#Q
Entry from Alexandria: an optimized crystal structure of HfMg14Cr (PBE-GGA).

**Total magnetization**: 4.9 μB/cell
**Symmetry**: P-6m2 (187)

Cell: 6.366 6.366 10.116 Å, 90.00 90.00 120.00°
Atoms (fractional coordinates):
Hf 0.000 0.000 0.000
Mg 0.008 0.504 0.000
Mg 0.162 0.324 0.252
Mg 0.162 0.324 0.748
Mg 0.162 0.838 0.252
Mg 0.162 0.838 0.748
Mg 0.496 0.504 0.000
Mg 0.496 0.992 0.000
Mg 0.501 0.002 0.500
Mg 0.501 0.499 0.500
Mg 0.667 0.333 0.242
Mg 0.667 0.333 0.758
Mg 0.676 0.838 0.252
Mg 0.676 0.838 0.748
Mg 0.998 0.499 0.500
Cr 0.000 0.000 0.500

Least stable = #Q

#P
Entry from Alexandria: an optimized crystal structure of HfMg6Cr (PBE-GGA).

**Total magnetization**: 3.4 μB/cell
**Symmetry**: Amm2 (38)

Cell: 4.931 6.364 6.364 Å, 58.53 90.00 90.00°
Atoms (fractional coordinates):
Hf 0.000 0.000 0.000
Mg 0.000 0.483 0.483
Mg 0.000 0.483 0.995
Mg 0.000 0.995 0.483
Mg 0.500 0.139 0.652
Mg 0.500 0.645 0.645
Mg 0.500 0.652 0.139
Cr 0.500 0.134 0.134

#Q
Entry from Alexandria: an optimized crystal structure of HfMg6Cr (PBE-GGA).

**Total magnetization**: 4.0 μB/cell
**Symmetry**: Amm2 (38)

Cell: 5.028 6.347 6.347 Å, 57.61 90.00 90.00°
Atoms (fractional coordinates):
Hf 0.000 0.000 0.000
Mg 0.000 0.001 0.497
Mg 0.000 0.497 0.001
Mg 0.500 0.157 0.157
Mg 0.500 0.161 0.661
Mg 0.500 0.647 0.647
Mg 0.500 0.661 0.161
Cr 0.000 0.492 0.492

Least stable = #Q

#P
Entry from Alexandria: an optimized crystal structure of HfMgCrN2 (PBE-GGA).

**Total magnetization**: 0.0 μB/cell
**Symmetry**: P4/mmm (123)

Cell: 3.868 3.868 4.918 Å, 90.00 90.00 90.00°
Atoms (fractional coordinates):
Hf 0.000 0.000 0.000
Mg 0.500 0.500 0.000
Cr 0.000 0.000 0.500
N 0.000 0.500 0.500
N 0.500 0.000 0.500

#Q
Entry from Alexandria: an optimized crystal structure of HfMgCrN2 (PBE-GGA).

**Total magnetization**: 0.0 μB/cell
**Symmetry**: P4/mmm (123)

Cell: 3.851 3.851 5.216 Å, 90.00 90.00 90.00°
Atoms (fractional coordinates):
Hf 0.000 0.000 0.000
Mg 0.000 0.000 0.500
Cr 0.500 0.500 0.000
N 0.000 0.500 0.500
N 0.500 0.000 0.500

Least stable = #Q